Entry 1:
DFT (GGA-PBE) results for a relaxed structure of La7Nd3Dy2.

The structure in extended XYZ format:
```
12
Lattice="3.6064 0.0000 0.0000 0.0000 6.5481 0.8066 0.0000 2.5185 18.3900" Properties=species:S:1:pos:R:3 pbc="T T T"
La 1.8032 2.7937 9.5455
La 1.8032 6.2730 9.6511
La 0.0000 4.0841 3.5564
La 0.0000 0.0000 0.0000
La 0.0000 4.9826 15.6402
La 1.8032 8.3104 16.0007
La 1.8032 0.7563 3.1959
Nd 1.8032 3.2741 0.4033
Nd 0.0000 1.6230 6.2832
Nd 0.0000 7.4436 12.9134
Dy 1.8032 4.8376 6.5765
Dy 1.8032 4.2290 12.6201
```

Properties
ΔH_f (0 K) = 0.065 eV per atom
density of states at the Fermi level = 18.59 states/eV per cell
crystal system = monoclinic
space-group type = P2/m

Entry 2:
DFT (GGA-PBE) results for a relaxed structure of K4TlO3.

The structure in extended XYZ format:
```
16
Lattice="-1.5893 0.1890 6.5416 -4.3384 -3.5998 -4.4166 8.0405 -5.2940 2.1064" Properties=species:S:1:pos:R:3 pbc="T T T"
K 6.1919 -5.7407 2.7137
K 1.0607 -2.9616 6.2329
K 2.4698 -4.7516 3.0544
K -2.0774 -2.0419 4.1704
K 3.9848 -6.6318 -0.3120
K -0.7102 -3.9046 1.4120
K 0.9085 -5.6069 -1.9826
K -4.1961 -2.8309 1.4277
Tl 0.4935 -7.1797 1.4967
Tl -2.9906 -4.5965 -1.7632
O 4.5960 -5.5180 4.7740
O 0.5902 -2.8727 3.6616
O 1.6656 -5.4693 0.5541
O -2.3586 -2.8218 -0.4829
O 1.3308 -7.1567 3.6060
O -2.8686 -4.4884 3.2900
```

Properties
formation energy without anion corrections = -1028 meV per atom
density of states at the Fermi level = 4.89 states/eV per cell
crystal system = monoclinic
space-group type = Cc

Entry 3:
DFT (GGA-PBE) results for a relaxed structure of YMgZn3.

The structure in extended XYZ format:
```
10
Lattice="4.4356 0.0000 0.0000 0.0000 3.4874 0.0000 0.0000 -1.7437 12.8156" Properties=species:S:1:pos:R:3 pbc="T T T"
Y 1.1089 0.0000 1.9352
Y 3.3267 1.7437 10.8804
Mg 1.1089 1.7437 7.3397
Mg 3.3267 0.0000 5.4759
Zn 1.1089 0.0000 9.6086
Zn 3.3267 1.7437 3.2070
Zn 1.1089 0.0000 12.1865
Zn 3.3267 1.7437 0.6291
Zn 3.3267 0.0000 8.2912
Zn 1.1089 1.7437 4.5244
```

Properties
ΔH_f (0 K) = -0.270 eV per atom
density of states at the Fermi level = 5.83 states/eV per cell
crystal system = orthorhombic
space-group type = Cmcm